# ScAgSe2 PBE-GGA optimized geometry
# Formation energy from raw total energies: -0.98 eV/atom
# V: 21.85 Å³ per atom
# SG: P4mm (99)
# DFT total energy: -20.1 eV/cell
data_ScAgSe2
_chemical_formula_sum 'Sc1 Ag1 Se2'
_space_group_name_H-M_alt 'P 1'
_space_group_IT_number 1
_cell_length_a 3.815
_cell_length_b 3.815
_cell_length_c 6.005
_cell_angle_alpha 90.00
_cell_angle_beta 90.00
_cell_angle_gamma 90.00
loop_
_space_group_symop_operation_xyz
'x,y,z'
loop_
_atom_site_label
_atom_site_fract_x
_atom_site_fract_y
_atom_site_fract_z
Se1 0.000 0.000 0.901
Se2 0.500 0.500 0.359
Sc1 0.500 0.500 0.789
Ag1 0.000 0.000 0.450